No. 1
SmEr2Tl: relaxed, GGA-PBE.

Cell: 4.5717 6.6209 8.7412 Å, 90.00 90.00 110.18°
Fractional coordinates of all 8 atoms:
Er  0.6349  0.2699  0.4472
Er  0.6349  0.2699  0.0528
Er  0.3651  0.7301  0.5528
Er  0.3651  0.7301  0.9472
Sm  0.0572  0.1143  0.7500
Sm  0.9428  0.8857  0.2500
Tl  0.2351  0.4704  0.2500
Tl  0.7649  0.5296  0.7500

raw total energy: -4.15 eV/atom
formation enthalpy at 0 K: -0.09 eV/atom
energy above the most stable polymorph in this dataset: 7.9 kJ per mole of atoms
space group: Cmcm (63)

No. 2
Sm2Er6Tl: relaxed, GGA-PBE.

Cell: 3.4796 10.1187 9.5491 Å, 121.99 100.52 90.00°
Fractional coordinates of all 9 atoms:
Er  0.1771  0.0144  0.3540
Er  0.1771  0.3396  0.3540
Er  0.8229  0.9856  0.6460
Er  0.5000  0.6976  0.0000
Er  0.5000  0.3024  0.0000
Er  0.8229  0.6604  0.6460
Sm  0.1528  0.6533  0.3066
Sm  0.8472  0.3467  0.6934
Tl  0.0000  0.0000  0.0000

raw total energy: -4.35 eV/atom
formation enthalpy at 0 K: 0.00 eV/atom
space group: Immm (71)

No. 3
Sm2ErTl: relaxed, GGA-PBE.

Cell: 3.6591 3.6591 11.1459 Å, 80.55 80.55 60.00°
Last column: magnetic moment on the atom in μB.
Fractional coordinates of all 4 atoms:
Er  0.5001  0.5001  0.4997  0.19
Tl  0.6665  0.6665  0.0006  0.00
Sm  0.0799  0.0799  0.7603  0.07
Sm  0.2536  0.2536  0.2393  0.03

raw total energy: -4.19 eV/atom
formation enthalpy at 0 K: -0.10 eV/atom
energy above the most stable polymorph in this dataset: 4.9 kJ per mole of atoms
space group: R3m (160)